First-principles (PBE) data for a geometry-optimized Nb2TcSe2 structure, as listed in Alexandria via LeMat-Bulk.

```
Nb2TcSe2
1.0
-1.842 1.842 6.818
1.842 -1.842 6.818
1.842 1.842 -6.818
Nb Tc Se
2 1 2
direct
0.102 0.102 0.000
0.898 0.898 0.000
0.500 0.500 0.000
0.250 0.750 0.500
0.750 0.250 0.500
```

Computed properties:
Formation energy (no corrections) in eV/atom: 0.38
Space group: No. 139
DOS(E_F) in states/eV/atom: 1.108
Polymorph energy (0 for the lowest one) in meV per atom: 274


First-principles (PBE) data for a geometry-optimized NiHgSb4 structure, as listed in Alexandria via LeMat-Bulk.

```
NiHgSb4
1.0
0.000 4.373 4.373
4.373 0.000 4.373
4.373 4.373 0.000
Ni Hg Sb
1 1 4
direct
0.000 0.000 0.000
0.250 0.250 0.250
0.131 0.623 0.623
0.623 0.131 0.623
0.623 0.623 0.131
0.623 0.623 0.623
```

Computed properties:
Formation energy (no corrections) in eV/atom: 0.66
Space group: No. 216
DOS(E_F) in states/eV/atom: 1.343


First-principles (PBE) data for a geometry-optimized KLi2PaBr8 structure, as listed in Alexandria via LeMat-Bulk.

```
KLi2PaBr8
1.0
4.978 -5.549 0.000
4.978 5.549 0.000
-2.683 0.000 9.174
K Li Pa Br
1 2 1 8
direct
0.000 0.000 0.000
0.414 0.414 0.841
0.586 0.586 0.159
0.000 0.000 0.500
0.163 0.817 0.297
0.183 0.837 0.703
0.288 0.288 0.567
0.332 0.332 0.059
0.668 0.668 0.941
0.712 0.712 0.433
0.817 0.163 0.297
0.837 0.183 0.703
```

Computed properties:
Formation energy (no corrections) in eV/atom: -1.49
Space group: No. 12


Question: formation energy (no corrections) of number 1 (Nb2TcSe2)?
Answer: 0.38 eV/atom


Question: Look up the formation energy (no corrections) of the second one.
Answer: 0.66 eV/atom


Question: Number 3 is which compound?
Answer: KLi2PaBr8


Question: What is the formation energy (no corrections) in the first record?
Answer: 0.38 eV/atom